Th2Ga3SnRh4: optimized geometry, PBE.

Cell: 4.347 4.347 10.262 Å, 90.00 90.00 90.00°
Positions (direct):
1 Th 0.000 0.500 0.238
2 Th 0.500 0.000 0.762
3 Ga 0.000 0.500 0.879
4 Ga 0.500 0.000 0.121
5 Ga 0.500 0.500 0.500
6 Sn 0.000 0.000 0.500
7 Rh 0.000 0.000 0.000
8 Rh 0.000 0.500 0.643
9 Rh 0.500 0.000 0.357
10 Rh 0.500 0.500 0.000

Values from the calculation:
As for the space group: P-4m2. The crystal system is tetragonal. For the total energy, the calculation gives -6.519 eV/atom.

Ga12Si5Ge3: optimized geometry, PBE.

Cell: 13.019 13.019 13.019 Å, 109.47 109.47 109.47°
Positions (direct):
1 Ga 0.054 0.226 0.130
2 Ga 0.054 0.328 0.924
3 Ga 0.076 0.630 0.404
4 Ga 0.076 0.946 0.672
5 Ga 0.096 0.726 0.672
6 Ga 0.096 0.870 0.424
7 Ga 0.130 0.054 0.226
8 Ga 0.130 0.576 0.904
9 Ga 0.172 0.226 0.596
10 Ga 0.172 0.446 0.576
11 Ga 0.226 0.130 0.054
12 Ga 0.226 0.596 0.172
13 Ga 0.274 0.328 0.904
14 Ga 0.274 0.446 0.370
15 Ga 0.328 0.904 0.274
16 Ga 0.328 0.924 0.054
17 Ga 0.370 0.274 0.446
18 Ga 0.370 0.596 0.924
19 Ga 0.404 0.076 0.630
20 Ga 0.404 0.828 0.774
21 Ga 0.424 0.096 0.870
22 Ga 0.424 0.828 0.554
23 Ga 0.446 0.370 0.274
24 Ga 0.446 0.576 0.172
25 Ga 0.554 0.424 0.828
26 Ga 0.554 0.630 0.726
27 Ga 0.576 0.172 0.446
28 Ga 0.576 0.904 0.130
29 Ga 0.596 0.172 0.226
30 Ga 0.596 0.924 0.370
31 Ga 0.630 0.404 0.076
32 Ga 0.630 0.726 0.554
33 Ga 0.672 0.076 0.946
34 Ga 0.672 0.096 0.726
35 Ga 0.726 0.554 0.630
36 Ga 0.726 0.672 0.096
37 Ga 0.774 0.404 0.828
38 Ga 0.774 0.870 0.946
39 Ga 0.828 0.554 0.424
40 Ga 0.828 0.774 0.404
41 Ga 0.870 0.424 0.096
42 Ga 0.870 0.946 0.774
43 Ga 0.904 0.130 0.576
44 Ga 0.904 0.274 0.328
45 Ga 0.924 0.054 0.328
46 Ga 0.924 0.370 0.596
47 Ga 0.946 0.672 0.076
48 Ga 0.946 0.774 0.870
49 Si 0.000 0.000 0.000
50 Si 0.000 0.000 0.500
51 Si 0.000 0.500 0.000
52 Si 0.000 0.500 0.500
53 Si 0.125 0.750 0.875
54 Si 0.125 0.875 0.250
55 Si 0.250 0.125 0.875
56 Si 0.250 0.625 0.375
57 Si 0.375 0.250 0.625
58 Si 0.375 0.625 0.750
59 Si 0.500 0.000 0.000
60 Si 0.500 0.000 0.500
61 Si 0.500 0.500 0.000
62 Si 0.500 0.500 0.500
63 Si 0.625 0.375 0.250
64 Si 0.625 0.750 0.375
65 Si 0.750 0.375 0.625
66 Si 0.750 0.875 0.125
67 Si 0.875 0.125 0.750
68 Si 0.875 0.250 0.125
69 Ge 0.125 0.250 0.375
70 Ge 0.125 0.375 0.750
71 Ge 0.250 0.375 0.125
72 Ge 0.250 0.875 0.625
73 Ge 0.375 0.125 0.250
74 Ge 0.375 0.750 0.125
75 Ge 0.625 0.250 0.875
76 Ge 0.625 0.875 0.750
77 Ge 0.750 0.125 0.375
78 Ge 0.750 0.625 0.875
79 Ge 0.875 0.625 0.250
80 Ge 0.875 0.750 0.625

Values from the calculation:
As for the space group: Ia-3d. The crystal system is cubic. For the total energy, the calculation gives -3.655 eV/atom.

AlCoSi2: optimized geometry, PBE.

Cell: 2.706 2.706 7.041 Å, 90.00 90.00 90.00°
Positions (direct):
1 Al 0.000 0.000 0.000
2 Co 0.000 0.000 0.500
3 Si 0.500 0.500 0.290
4 Si 0.500 0.500 0.710

Values from the calculation:
As for the space group: P4/mmm. The crystal system is tetragonal. For the total energy, the calculation gives -5.556 eV/atom.

Pu2ThAl6: optimized geometry, PBE.

Cell: 8.065 8.065 3.429 Å, 90.00 90.00 120.00°
Positions (direct):
1 Pu 0.333 0.667 0.000
2 Pu 0.667 0.333 0.000
3 Th 0.000 0.000 0.000
4 Al 0.000 0.336 0.500
5 Al 0.000 0.664 0.500
6 Al 0.336 0.000 0.500
7 Al 0.336 0.336 0.500
8 Al 0.664 0.000 0.500
9 Al 0.664 0.664 0.500

Values from the calculation:
As for the space group: P6/mmm. The crystal system is hexagonal. For the total energy, the calculation gives -6.816 eV/atom.

La2YNiPb: optimized geometry, PBE.

Cell: 5.290 5.290 5.487 Å, 90.00 90.00 90.00°
Positions (direct):
1 La 0.000 0.500 0.000
2 La 0.500 0.000 0.000
3 Y 0.000 0.000 0.500
4 Ni 0.000 0.000 0.000
5 Pb 0.500 0.500 0.500

Values from the calculation:
As for the space group: P4/mmm. The crystal system is tetragonal. For the total energy, the calculation gives -5.519 eV/atom.

As4P5: optimized geometry, PBE.

Cell: 8.272 8.272 5.246 Å, 90.00 90.00 120.00°
Positions (direct):
1 As 0.000 0.000 0.000
2 As 0.000 0.000 0.500
3 As 0.000 0.362 0.250
4 As 0.000 0.638 0.750
5 As 0.362 0.000 0.250
6 As 0.362 0.362 0.750
7 As 0.638 0.000 0.750
8 As 0.638 0.638 0.250
9 P 0.000 0.268 0.750
10 P 0.000 0.732 0.250
11 P 0.268 0.000 0.750
12 P 0.268 0.268 0.250
13 P 0.333 0.667 0.000
14 P 0.333 0.667 0.500
15 P 0.667 0.333 0.000
16 P 0.667 0.333 0.500
17 P 0.732 0.000 0.250
18 P 0.732 0.732 0.750

Values from the calculation:
As for the space group: P6_3/mcm. The crystal system is hexagonal. For the energy above the lowest structure with this stoichiometry, the calculation gives 193 meV/atom. For the total energy, the calculation gives -4.455 eV/atom.

CsCd9Pb4: optimized geometry, PBE.

Cell: 10.485 10.485 10.485 Å, 120.20 120.20 89.66°
Positions (direct):
1 Cs 0.250 0.250 0.000
2 Cs 0.750 0.750 0.000
3 Cd 0.000 0.500 0.500
4 Cd 0.041 0.799 0.840
5 Cd 0.065 0.565 0.282
6 Cd 0.201 0.041 0.243
7 Cd 0.217 0.935 0.500
8 Cd 0.283 0.783 0.718
9 Cd 0.299 0.541 0.840
10 Cd 0.435 0.717 0.500
11 Cd 0.459 0.299 0.757
12 Cd 0.500 0.000 0.500
13 Cd 0.541 0.701 0.243
14 Cd 0.565 0.283 0.500
15 Cd 0.701 0.459 0.160
16 Cd 0.717 0.217 0.282
17 Cd 0.783 0.065 0.500
18 Cd 0.799 0.959 0.757
19 Cd 0.935 0.435 0.718
20 Cd 0.959 0.201 0.160
21 Pb 0.060 0.185 0.500
22 Pb 0.185 0.685 0.125
23 Pb 0.315 0.440 0.500
24 Pb 0.440 0.940 0.125
25 Pb 0.560 0.060 0.875
26 Pb 0.685 0.560 0.500
27 Pb 0.815 0.315 0.875
28 Pb 0.940 0.815 0.500

Values from the calculation:
As for the space group: I4/mcm. The crystal system is tetragonal. For the total energy, the calculation gives -1.726 eV/atom.

Sc4TlCdHg2: optimized geometry, PBE.

Cell: 8.717 8.717 8.717 Å, 33.36 33.36 33.36°
Positions (direct):
1 Sc 0.124 0.124 0.124
2 Sc 0.375 0.375 0.375
3 Sc 0.625 0.625 0.625
4 Sc 0.876 0.876 0.876
5 Tl 0.000 0.000 0.000
6 Cd 0.500 0.500 0.500
7 Hg 0.245 0.245 0.245
8 Hg 0.755 0.755 0.755

Values from the calculation:
As for the space group: R-3m. The crystal system is trigonal. For the total energy, the calculation gives -4.008 eV/atom.

Q: What is the formula in the eighth record?
A: Sc4TlCdHg2